Arrangement a

{"formula": "Dy3TlFe", "functional": "PBE-GGA", "state": "relaxed", "lattice": [[5.1380, 0.0000, 0.0000], [0.0000, 5.1380, 0.0000], [0.0000, 0.0000, 5.1380]], "species": ["Dy", "Dy", "Dy", "Tl", "Fe"], "frac_coords": [[0.0000, 0.0000, 0.5000], [0.0000, 0.5000, 0.0000], [0.5000, 0.0000, 0.0000], [0.5000, 0.5000, 0.5000], [0.0000, 0.0000, 0.0000]], "volume_a3_per_atom": 27.13, "spacegroup": "Pm-3m (221)"}



Arrangement b

{"formula": "Dy3TlFe", "functional": "PBE-GGA", "state": "relaxed", "lattice": [[8.5814, 0.0000, 0.0000], [0.0000, 3.8210, 0.0000], [-3.7288, 0.0000, 7.8875]], "species": ["Dy", "Dy", "Dy", "Dy", "Dy", "Dy", "Tl", "Tl", "Fe", "Fe"], "frac_coords": [[0.0341, 0.2500, 0.2202], [0.3271, 0.7500, 0.5687], [0.3303, 0.2500, 0.8946], [0.6697, 0.7500, 0.1054], [0.6729, 0.2500, 0.4313], [0.9659, 0.7500, 0.7798], [0.3315, 0.7500, 0.1979], [0.6685, 0.2500, 0.8021], [0.0546, 0.2500, 0.5675], [0.9454, 0.7500, 0.4325]], "volume_a3_per_atom": 25.86, "spacegroup": "P2_1/m (11)"}



Top of the stability list: arrangement b, leading by 0.154 eV/atom.